Record 1
Computed, not measured: crystalline Pm4NiTeI2 at its relaxed geometry at the PBE level of DFT.

## Properties
The value obtained for the raw formation energy is -7.2 eV/f.u. The calculation puts the total energy at -4.77 eV/atom. The calculation puts the volume at 254 Å³/cell.

Cell lengths 7.896, 4.177, 8.046 Å; angles 90.00, 106.68, 90.00 degrees
Space group P2/m (No. 10)
One atom of each set of equivalent atoms:
Pm  0.197  0.000  0.190 x2
Pm  0.230  0.500  0.796 x2
Ni  0.000  0.500  0.000 x1
Te  0.500  0.000  0.000 x1
I  0.000  0.000  0.500 x1
I  0.500  0.500  0.500 x1

---

Record 2
Computed, not measured: crystalline InReSi2 at its relaxed geometry at the PBE level of DFT.

## Properties
The value obtained for the raw formation energy is 0.8 eV/f.u. The calculation puts the total energy at -6.30 eV/atom. The calculation puts the volume at 135 Å³/cell.

Cell lengths 4.315, 3.329, 9.421 Å; angles 90.00, 90.00, 90.00 degrees
Space group Amm2 (No. 38)
One atom of each set of equivalent atoms:
In  0.000  0.000  0.000 x2
Re  0.500  0.000  0.609 x2
Si  0.000  0.000  0.732 x2
Si  0.500  0.000  0.312 x2

---

Record 3
Computed, not measured: crystalline TlPd2F8 at its relaxed geometry at the PBE level of DFT.

## Properties
The value obtained for the raw formation energy is -15.2 eV/f.u. The calculation puts the total energy at -3.90 eV/atom. The calculation puts the volume at 716 Å³/cell.

Cell lengths 10.457, 9.216, 7.853 Å; angles 90.00, 108.80, 90.00 degrees
Space group C2/c (No. 15)
One atom of each set of equivalent atoms:
Tl  0.000  0.177  0.250 x4
Pd  0.133  0.498  0.566 x8
F  0.126  0.289  0.505 x8
F  0.137  0.442  0.818 x8
F  0.145  0.294  0.136 x8
F  0.147  0.006  0.338 x8

---

What did the third record say?
Computed, not measured: crystalline TlPd2F8 at its relaxed geometry at the PBE level of DFT.

## Properties
The value obtained for the raw formation energy is -15.2 eV/f.u. The calculation puts the total energy at -3.90 eV/atom. The calculation puts the volume at 716 Å³/cell.

Cell lengths 10.457, 9.216, 7.853 Å; angles 90.00, 108.80, 90.00 degrees
Space group C2/c (No. 15)
One atom of each set of equivalent atoms:
Tl  0.000  0.177  0.250 x4
Pd  0.133  0.498  0.566 x8
F  0.126  0.289  0.505 x8
F  0.137  0.442  0.818 x8
F  0.145  0.294  0.136 x8
F  0.147  0.006  0.338 x8

---

Among the records above, which one has the lowest raw formation energy? TlPd2F8